DFT (GGA-PBE) results for Cr2Hg after structural relaxation.

abc: 6.563 6.563 6.563
angles: 90.00 90.00 90.00
Atoms (fractional coordinates):
Cr1 0.135 0.135 0.135
Cr2 0.135 0.365 0.635
Cr3 0.365 0.635 0.135
Cr4 0.365 0.865 0.635
Cr5 0.635 0.135 0.365
Cr6 0.635 0.365 0.865
Cr7 0.865 0.635 0.365
Cr8 0.865 0.865 0.865
Hg1 0.000 0.000 0.500
Hg2 0.000 0.500 0.000
Hg3 0.500 0.000 0.000
Hg4 0.500 0.500 0.500

D(E_F), states/eV/atom: 0.699

---

DFT (GGA-PBE) results for Cr7Hg after structural relaxation.

abc: 5.254 5.254 5.254
angles: 60.00 60.00 60.00
Atoms (fractional coordinates):
Cr1 0.000 0.000 0.000
Cr2 0.000 0.000 0.500
Cr3 0.000 0.500 0.000
Cr4 0.000 0.500 0.500
Cr5 0.500 0.000 0.000
Cr6 0.500 0.000 0.500
Cr7 0.500 0.500 0.000
Hg1 0.500 0.500 0.500

D(E_F), states/eV/atom: 1.388

---

Calculated values (eV per atom) of ΔE_f for the records, taken in order: 1.25, 0.55.
Calculated values (Å³/cell) of V for the records, taken in order: 282.72, 102.53.